Material: Mn3BeTe
Method: DFT, GGA-PBE
State: relaxed

a = 4.2774 Å, b = 4.2774 Å, c = 4.2774 Å
α = 90.00°, β = 90.00°, γ = 90.00°
Closest atoms and distances in Å follow each position.
Fractional positions:
Mn: 0.0000 0.0000 0.5000  2 Be 2.14
Mn: 0.0000 0.5000 0.0000  2 Be 2.14
Mn: 0.5000 0.0000 0.0000  2 Be 2.14
Be: 0.0000 0.0000 0.0000  6 Mn 2.14
Te: 0.5000 0.5000 0.5000  12 Mn 3.02

Properties
VASP energy in eV/atom: -6.480

Material: Dy4SnSe4
Method: DFT, GGA-PBE
State: relaxed

a = 7.3539 Å, b = 7.3539 Å, c = 10.3997 Å
α = 119.45°, β = 119.45°, γ = 32.37°
Closest atoms and distances in Å follow each position.
Fractional positions:
Dy: 0.0976 0.0976 0.3855  4 Se 2.89-3.00, 2 Sn 3.03
Dy: 0.2925 0.2925 0.1919  5 Se 2.83-2.95, 1 Sn 3.04
Dy: 0.7075 0.7075 0.8081  5 Se 2.83-2.95, 1 Sn 3.04
Dy: 0.9024 0.9024 0.6145  4 Se 2.89-3.00, 2 Sn 3.03
Sn: 0.5000 0.5000 0.5000  6 Dy 3.03-3.04
Se: 0.1096 0.1096 0.8953  4 Dy 2.83-2.89
Se: 0.2972 0.2972 0.6951  5 Dy 2.90-3.00
Se: 0.7028 0.7028 0.3049  5 Dy 2.90-3.00
Se: 0.8904 0.8904 0.1047  4 Dy 2.83-2.89

Properties
VASP energy in eV/atom: -5.636

Material: Rb2PrSnTe4
Method: DFT, GGA-PBE
State: relaxed

a = 8.0900 Å, b = 4.5728 Å, c = 8.9750 Å
α = 90.00°, β = 106.89°, γ = 90.00°
Closest atoms and distances in Å follow each position.
Fractional positions:
Rb: 0.0000 0.0000 0.0000  6 Te 3.73-3.74
Rb: 0.5000 0.5000 0.0000  6 Te 3.67-3.68
Pr: 0.0000 0.5000 0.5000  6 Te 3.21-3.22
Sn: 0.5000 0.0000 0.5000  6 Te 3.14-3.15
Te: 0.2413 0.0000 0.7030  1 Sn 3.15, 2 Pr 3.21
Te: 0.2735 0.5000 0.3017  2 Sn 3.14, 1 Pr 3.22
Te: 0.7265 0.5000 0.6983  2 Sn 3.14, 1 Pr 3.22
Te: 0.7587 0.0000 0.2970  1 Sn 3.15, 2 Pr 3.21

Properties
VASP energy in eV/atom: -3.863

Material: BeRh2Pb
Method: DFT, GGA-PBE
State: relaxed

a = 8.4899 Å, b = 3.6844 Å, c = 4.5993 Å
α = 90.00°, β = 121.78°, γ = 90.00°
Closest atoms and distances in Å follow each position.
Fractional positions:
Be: 0.0000 0.0000 0.0000  4 Rh 2.38
Be: 0.5000 0.5000 0.0000  4 Rh 2.38
Rh: 0.2080 0.5000 0.2051  2 Be 2.38
Rh: 0.2920 0.0000 0.7949  2 Be 2.38
Rh: 0.7080 0.0000 0.2051  2 Be 2.38
Rh: 0.7920 0.5000 0.7949  2 Be 2.38
Pb: 0.0000 0.5000 0.5000  8 Rh 2.74-2.80, 4 Be 2.95
Pb: 0.5000 0.0000 0.5000  8 Rh 2.74-2.80, 4 Be 2.95

Properties
VASP energy in eV/atom: -5.622

Material: AlOsW2
Method: DFT, GGA-PBE
State: relaxed

a = 9.3055 Å, b = 4.4594 Å, c = 3.1088 Å
α = 90.00°, β = 109.41°, γ = 90.00°
Closest atoms and distances in Å follow each position.
Fractional positions:
Al: 0.0000 0.0000 0.0000  2 Os 2.65, 6 W 2.72-2.76
Al: 0.5000 0.5000 0.0000  2 Os 2.65, 6 W 2.72-2.76
Os: 0.2452 0.0000 0.7438  2 Al 2.65, 6 W 2.69-2.72
Os: 0.7452 0.5000 0.7438  2 Al 2.65, 6 W 2.69-2.72
W: 0.2402 0.5000 0.2412  2 W 2.64-2.65, 4 Os 2.71-2.72, 2 Al 2.76
W: 0.4965 0.0000 0.4964  2 W 2.64-2.65, 2 Os 2.69-2.70, 4 Al 2.72
W: 0.7402 0.0000 0.2412  2 W 2.64-2.65, 4 Os 2.71-2.72, 2 Al 2.76
W: 0.9965 0.5000 0.4964  2 W 2.64-2.65, 2 Os 2.69-2.70, 4 Al 2.72

Properties
VASP energy in eV/atom: -10.190

Material: Pr2ThHg4
Method: DFT, GGA-PBE
State: relaxed

a = 9.6866 Å, b = 9.6866 Å, c = 9.6866 Å
α = 31.17°, β = 31.17°, γ = 31.17°
Closest atoms and distances in Å follow each position.
Fractional positions:
Pr: 0.2433 0.2433 0.2433  7 Hg 3.17-3.28
Pr: 0.7567 0.7567 0.7567  7 Hg 3.17-3.28
Th: 0.0000 0.0000 0.0000  8 Hg 3.23-3.55
Hg: 0.1285 0.1285 0.1285  4 Pr 3.17-3.19, 1 Th 3.55
Hg: 0.3760 0.3760 0.3760  3 Th 3.23, 3 Pr 3.28
Hg: 0.6240 0.6240 0.6240  3 Th 3.23, 3 Pr 3.28
Hg: 0.8715 0.8715 0.8715  4 Pr 3.17-3.19, 1 Th 3.55

Properties
VASP energy in eV/atom: -2.848

Material: HfAlCr3
Method: DFT, GGA-PBE
State: relaxed

a = 4.7382 Å, b = 4.7382 Å, c = 4.7382 Å
α = 90.00°, β = 90.00°, γ = 90.00°
Closest atoms and distances in Å follow each position.
Fractional positions:
Hf: 0.0000 0.0000 0.0000  6 Cr 2.37
Al: 0.5000 0.5000 0.5000  12 Cr 3.35
Cr: 0.0000 0.0000 0.5000  2 Hf 2.37
Cr: 0.0000 0.5000 0.0000  2 Hf 2.37
Cr: 0.5000 0.0000 0.0000  2 Hf 2.37

Properties
VASP energy in eV/atom: -6.829

Material: CaSn2Pb8
Method: DFT, GGA-PBE
State: relaxed

a = 8.3306 Å, b = 8.3306 Å, c = 5.8034 Å
α = 98.09°, β = 98.09°, γ = 71.14°
Closest atoms and distances in Å follow each position.
Fractional positions:
Ca: 0.0000 0.0000 0.0000  6 Pb 3.22-3.32, 4 Sn 3.28-3.37
Sn: 0.1217 0.1217 0.5406  5 Pb 3.21-3.42, 1 Sn 3.25, 2 Ca 3.28-3.37
Sn: 0.8783 0.8783 0.4594  5 Pb 3.21-3.42, 1 Sn 3.25, 2 Ca 3.28-3.37
Pb: 0.2097 0.6345 0.2210  4 Pb 3.19-3.55, 1 Sn 3.21, 1 Ca 3.32
Pb: 0.2410 0.2410 0.0950  4 Pb 3.19-3.46, 1 Ca 3.22, 2 Sn 3.28-3.34
Pb: 0.3655 0.7903 0.7790  4 Pb 3.19-3.55, 1 Sn 3.21, 1 Ca 3.32
Pb: 0.3783 0.3783 0.6572  6 Pb 3.38-3.46, 1 Sn 3.42
Pb: 0.6217 0.6217 0.3428  6 Pb 3.38-3.46, 1 Sn 3.42
Pb: 0.6345 0.2097 0.2210  4 Pb 3.19-3.55, 1 Sn 3.21, 1 Ca 3.32
Pb: 0.7590 0.7590 0.9050  4 Pb 3.19-3.46, 1 Ca 3.22, 2 Sn 3.28-3.34
Pb: 0.7903 0.3655 0.7790  4 Pb 3.19-3.55, 1 Sn 3.21, 1 Ca 3.32

Properties
VASP energy in eV/atom: -3.583

Material: Re2SiTc
Method: DFT, GGA-PBE
State: relaxed

a = 2.7929 Å, b = 2.7929 Å, c = 25.4909 Å
α = 90.00°, β = 90.00°, γ = 120.00°
Closest atoms and distances in Å follow each position.
Fractional positions:
Re: 0.0000 0.0000 0.2473  3 Si 2.61, 3 Tc 2.72, 6 Re 2.79
Re: 0.0000 0.0000 0.7527  3 Si 2.61, 3 Tc 2.72, 6 Re 2.79
Re: 0.3333 0.6667 0.4193  3 Si 2.61, 3 Tc 2.72, 6 Re 2.79
Re: 0.3333 0.6667 0.9140  3 Si 2.61, 3 Tc 2.72, 6 Re 2.79
Re: 0.6667 0.3333 0.0860  3 Si 2.61, 3 Tc 2.72, 6 Re 2.79
Re: 0.6667 0.3333 0.5807  3 Si 2.61, 3 Tc 2.72, 6 Re 2.79
Si: 0.0000 0.0000 0.5000  6 Re 2.61, 6 Si 2.79
Si: 0.3333 0.6667 0.1667  6 Re 2.61, 6 Si 2.79
Si: 0.6667 0.3333 0.8333  6 Re 2.61, 6 Si 2.79
Tc: 0.0000 0.0000 0.0000  6 Re 2.72, 6 Tc 2.79
Tc: 0.3333 0.6667 0.6667  6 Re 2.72, 6 Tc 2.79
Tc: 0.6667 0.3333 0.3333  6 Re 2.72, 6 Tc 2.79

Properties
VASP energy in eV/atom: -10.167

Material: Ac4CBr5
Method: DFT, GGA-PBE
State: relaxed

a = 9.9155 Å, b = 9.9155 Å, c = 8.9283 Å
α = 104.43°, β = 104.43°, γ = 24.37°
Closest atoms and distances in Å follow each position.
Fractional positions:
Ac: 0.0015 0.0015 0.2912  2 C 2.81
Ac: 0.3548 0.3548 0.4148  1 C 2.72
Ac: 0.6452 0.6452 0.5852  1 C 2.72
Ac: 0.9985 0.9985 0.7088  2 C 2.81
C: 0.5000 0.5000 0.5000  6 Ac 2.72-2.81
Br: 0.1648 0.1648 0.8549  3 Ac 3.14-3.15
Br: 0.1717 0.1717 0.3337  4 Ac 3.21-3.44
Br: 0.5000 0.5000 0.0000  4 Ac 3.33
Br: 0.8283 0.8283 0.6663  4 Ac 3.21-3.44
Br: 0.8352 0.8352 0.1451  3 Ac 3.14-3.15

Properties
VASP energy in eV/atom: -4.768

Material: SrIr2Se
Method: DFT, GGA-PBE
State: relaxed

a = 4.1541 Å, b = 4.1541 Å, c = 8.8302 Å
α = 90.00°, β = 90.00°, γ = 90.00°
Closest atoms and distances in Å follow each position.
Fractional positions:
Sr: 0.0000 0.0000 0.0000  8 Ir 2.94-3.03, 4 Se 3.03
Sr: 0.5000 0.5000 0.5000  8 Ir 2.94-3.03, 4 Se 3.03
Ir: 0.0000 0.0000 0.5000  4 Sr 2.94, 4 Se 3.03, 4 Ir 3.03
Ir: 0.0000 0.5000 0.7500  4 Se 2.94, 4 Ir 3.03, 4 Sr 3.03
Ir: 0.5000 0.0000 0.2500  4 Se 2.94, 4 Ir 3.03, 4 Sr 3.03
Ir: 0.5000 0.5000 0.0000  4 Sr 2.94, 4 Se 3.03, 4 Ir 3.03
Se: 0.0000 0.5000 0.2500  8 Ir 2.94-3.03, 4 Sr 3.03
Se: 0.5000 0.0000 0.7500  8 Ir 2.94-3.03, 4 Sr 3.03

Properties
VASP energy in eV/atom: -5.350

Material: Ti4In3Hg
Method: DFT, GGA-PBE
State: relaxed

a = 9.7852 Å, b = 6.0982 Å, c = 5.2566 Å
α = 90.00°, β = 90.00°, γ = 90.00°
Closest atoms and distances in Å follow each position.
Fractional positions:
Ti: 0.0000 0.1104 0.0000  3 Ti 2.76-2.91, 1 Hg 2.82, 3 In 2.90-3.08
Ti: 0.0000 0.6591 0.0324  3 Ti 2.76-3.02, 2 Hg 2.89-2.97, 3 In 3.01-3.03
Ti: 0.2427 0.1047 0.3757  2 Hg 2.90-3.08, 5 Ti 2.91-3.09, 5 In 2.92-3.19
Ti: 0.2573 0.8953 0.8757  2 Hg 2.90-3.08, 5 Ti 2.91-3.09, 5 In 2.92-3.19
Ti: 0.5000 0.3409 0.5324  3 Ti 2.76-3.02, 2 Hg 2.89-2.97, 3 In 3.01-3.03
Ti: 0.5000 0.8896 0.5000  3 Ti 2.76-2.91, 1 Hg 2.82, 3 In 2.90-3.08
Ti: 0.7427 0.8953 0.8757  2 Hg 2.90-3.08, 5 Ti 2.91-3.09, 5 In 2.92-3.19
Ti: 0.7573 0.1047 0.3757  2 Hg 2.90-3.08, 5 Ti 2.91-3.09, 5 In 2.92-3.19
In: 0.0000 0.3764 0.5025  6 Ti 2.97-3.28, 2 Hg 3.02-3.09, 4 In 3.04-3.06
In: 0.2379 0.3726 0.8735  7 Ti 2.90-3.19, 4 In 3.04-3.06, 1 Hg 3.09
In: 0.2621 0.6274 0.3735  7 Ti 2.90-3.19, 4 In 3.04-3.06, 1 Hg 3.09
In: 0.5000 0.6236 0.0025  6 Ti 2.97-3.28, 2 Hg 3.02-3.09, 4 In 3.04-3.06
In: 0.7379 0.6274 0.3735  7 Ti 2.90-3.19, 4 In 3.04-3.06, 1 Hg 3.09
In: 0.7621 0.3726 0.8735  7 Ti 2.90-3.19, 4 In 3.04-3.06, 1 Hg 3.09
Hg: 0.0000 0.8713 0.5407  7 Ti 2.82-3.08, 4 In 3.02-3.09
Hg: 0.5000 0.1287 0.0407  7 Ti 2.82-3.08, 4 In 3.02-3.09

Properties
VASP energy in eV/atom: -5.016